A) DFT (PBE-GGA) results for a relaxed P4S3I2 crystal.

a b c (Å): 10.358 16.860 7.262
angles (deg): 90.00 90.00 90.00
Element x y z (fractional)
P (0.037, 0.151, 0.039)
P (0.037, 0.349, 0.039)
P (0.143, 0.250, 0.179)
P (0.247, 0.750, 0.266)
P (0.253, 0.250, 0.766)
P (0.357, 0.750, 0.679)
P (0.463, 0.651, 0.539)
P (0.463, 0.849, 0.539)
P (0.537, 0.151, 0.461)
P (0.537, 0.349, 0.461)
P (0.643, 0.250, 0.321)
P (0.747, 0.750, 0.234)
P (0.753, 0.250, 0.734)
P (0.857, 0.750, 0.821)
P (0.963, 0.651, 0.961)
P (0.963, 0.849, 0.961)
S (0.125, 0.151, 0.772)
S (0.125, 0.349, 0.772)
S (0.178, 0.750, 0.539)
S (0.322, 0.250, 0.039)
S (0.375, 0.651, 0.272)
S (0.375, 0.849, 0.272)
S (0.625, 0.151, 0.728)
S (0.625, 0.349, 0.728)
S (0.678, 0.750, 0.961)
S (0.822, 0.250, 0.461)
S (0.875, 0.651, 0.228)
S (0.875, 0.849, 0.228)
I (0.152, 0.042, 0.205)
I (0.152, 0.458, 0.205)
I (0.348, 0.542, 0.705)
I (0.348, 0.958, 0.705)
I (0.652, 0.042, 0.295)
I (0.652, 0.458, 0.295)
I (0.848, 0.542, 0.795)
I (0.848, 0.958, 0.795)



B) DFT (PBE-GGA) results for a relaxed P4S3I2 crystal.

a b c (Å): 7.802 7.834 21.722
angles (deg): 84.97 87.14 89.66
Element x y z (fractional)
P (0.005, 0.098, 0.380)
P (0.067, 0.526, 0.397)
P (0.079, 0.025, 0.884)
P (0.113, 0.230, 0.947)
P (0.159, 0.529, 0.657)
P (0.216, 0.882, 0.552)
P (0.445, 0.195, 0.838)
P (0.487, 0.043, 0.104)
P (0.513, 0.957, 0.896)
P (0.555, 0.805, 0.162)
P (0.784, 0.118, 0.448)
P (0.841, 0.471, 0.343)
P (0.887, 0.770, 0.053)
P (0.921, 0.975, 0.116)
P (0.933, 0.474, 0.603)
P (0.995, 0.902, 0.620)
S (0.079, 0.752, 0.698)
S (0.158, 0.275, 0.423)
S (0.212, 0.128, 0.802)
S (0.266, 0.860, 0.927)
S (0.306, 0.629, 0.576)
S (0.363, 0.323, 0.918)
S (0.637, 0.677, 0.082)
S (0.694, 0.371, 0.424)
S (0.734, 0.140, 0.073)
S (0.788, 0.872, 0.198)
S (0.842, 0.725, 0.577)
S (0.921, 0.248, 0.302)
I (0.087, 0.554, 0.102)
I (0.267, 0.629, 0.307)
I (0.398, 0.223, 0.190)
I (0.418, 0.072, 0.601)
I (0.582, 0.928, 0.399)
I (0.602, 0.777, 0.810)
I (0.733, 0.371, 0.693)
I (0.913, 0.446, 0.898)



The winner here is B), beating the second structure by 15 meV/atom.



A) DFT (PBE-GGA) results for a relaxed PS4I crystal.

a b c (Å): 4.491 5.812 18.616
angles (deg): 81.86 83.34 69.31
Element x y z (fractional)
P (0.086, 0.212, 0.343)
P (0.914, 0.788, 0.657)
S (0.135, 0.050, 0.041)
S (0.260, 0.438, 0.397)
S (0.309, 0.829, 0.581)
S (0.500, 0.236, 0.936)
S (0.500, 0.764, 0.064)
S (0.691, 0.171, 0.419)
S (0.740, 0.562, 0.603)
S (0.865, 0.950, 0.959)
I (0.193, 0.500, 0.758)
I (0.807, 0.500, 0.242)



B) DFT (PBE-GGA) results for a relaxed PS4I crystal.

a b c (Å): 8.551 8.551 6.434
angles (deg): 96.59 96.59 55.35
Element x y z (fractional)
P (0.059, 0.059, 0.315)
P (0.941, 0.941, 0.685)
S (0.144, 0.726, 0.931)
S (0.188, 0.812, 0.500)
S (0.194, 0.194, 0.454)
S (0.274, 0.856, 0.069)
S (0.726, 0.144, 0.931)
S (0.806, 0.806, 0.546)
S (0.812, 0.188, 0.500)
S (0.856, 0.274, 0.069)
I (0.283, 0.283, 0.169)
I (0.717, 0.717, 0.831)



The winner here is A), beating the second structure by 114 meV/atom.



A) DFT (PBE-GGA) results for a relaxed ScP2SI crystal.

a b c (Å): 5.072 5.072 4.925
angles (deg): 90.00 90.00 90.00
Element x y z (fractional)
Sc (0.000, 0.000, 0.000)
P (0.000, 0.500, 0.500)
P (0.500, 0.000, 0.500)
S (0.500, 0.500, 0.000)
I (0.500, 0.500, 0.500)



B) DFT (PBE-GGA) results for a relaxed ScP2SI crystal.

a b c (Å): 5.179 5.179 4.732
angles (deg): 90.00 90.00 90.00
Element x y z (fractional)
Sc (0.000, 0.000, 0.000)
P (0.000, 0.500, 0.000)
P (0.500, 0.000, 0.000)
S (0.000, 0.000, 0.500)
I (0.500, 0.500, 0.500)



The winner here is B), beating the second structure by 603 meV/atom.



A) DFT (PBE-GGA) results for a relaxed SnP2SI crystal.

a b c (Å): 5.165 5.165 5.056
angles (deg): 90.00 90.00 90.00
Element x y z (fractional)
Sn (0.000, 0.000, 0.000)
P (0.000, 0.500, 0.500)
P (0.500, 0.000, 0.500)
S (0.500, 0.500, 0.000)
I (0.500, 0.500, 0.500)



B) DFT (PBE-GGA) results for a relaxed SnP2SI crystal.

a b c (Å): 5.233 5.233 4.872
angles (deg): 90.00 90.00 90.00
Element x y z (fractional)
Sn (0.000, 0.000, 0.000)
P (0.000, 0.500, 0.000)
P (0.500, 0.000, 0.000)
S (0.000, 0.000, 0.500)
I (0.500, 0.500, 0.500)



The winner here is B), beating the second structure by 205 meV/atom.



A) DFT (PBE-GGA) results for a relaxed SrP2SI crystal.

a b c (Å): 6.002 6.002 5.548
angles (deg): 90.00 90.00 90.00
Element x y z (fractional)
Sr (0.000, 0.000, 0.000)
P (0.000, 0.500, 0.000)
P (0.500, 0.000, 0.000)
S (0.000, 0.000, 0.500)
I (0.500, 0.500, 0.500)



B) DFT (PBE-GGA) results for a relaxed SrP2SI crystal.

a b c (Å): 5.189 5.189 5.190
angles (deg): 90.00 90.00 90.00
Element x y z (fractional)
Sr (0.000, 0.000, 0.000)
P (0.000, 0.500, 0.500)
P (0.500, 0.000, 0.500)
S (0.500, 0.500, 0.000)
I (0.500, 0.500, 0.500)



The winner here is B), beating the second structure by 581 meV/atom.



A) DFT (PBE-GGA) results for a relaxed SrPS2I crystal.

a b c (Å): 5.672 5.672 6.174
angles (deg): 90.00 90.00 90.00
Element x y z (fractional)
Sr (0.000, 0.000, 0.000)
P (0.000, 0.000, 0.500)
S (0.000, 0.500, 0.000)
S (0.500, 0.000, 0.000)
I (0.500, 0.500, 0.500)



B) DFT (PBE-GGA) results for a relaxed SrPS2I crystal.

a b c (Å): 5.156 5.156 5.184
angles (deg): 90.00 90.00 90.00
Element x y z (fractional)
Sr (0.000, 0.000, 0.000)
P (0.500, 0.500, 0.000)
S (0.000, 0.500, 0.500)
S (0.500, 0.000, 0.500)
I (0.500, 0.500, 0.500)



The winner here is B), beating the second structure by 572 meV/atom.



A) DFT (PBE-GGA) results for a relaxed TaP2SI crystal.

a b c (Å): 4.988 4.988 4.834
angles (deg): 90.00 90.00 90.00
Element x y z (fractional)
Ta (0.000, 0.000, 0.000)
P (0.000, 0.500, 0.500)
P (0.500, 0.000, 0.500)
S (0.500, 0.500, 0.000)
I (0.500, 0.500, 0.500)



B) DFT (PBE-GGA) results for a relaxed TaP2SI crystal.

a b c (Å): 4.990 4.990 4.671
angles (deg): 90.00 90.00 90.00
Element x y z (fractional)
Ta (0.000, 0.000, 0.000)
P (0.000, 0.500, 0.000)
P (0.500, 0.000, 0.000)
S (0.000, 0.000, 0.500)
I (0.500, 0.500, 0.500)



The winner here is B), beating the second structure by 1622 meV/atom.



A) DFT (PBE-GGA) results for a relaxed TcP2SI crystal.

a b c (Å): 4.772 4.772 4.554
angles (deg): 90.00 90.00 90.00
Element x y z (fractional)
Tc (0.000, 0.000, 0.000)
P (0.000, 0.500, 0.000)
P (0.500, 0.000, 0.000)
S (0.000, 0.000, 0.500)
I (0.500, 0.500, 0.500)



B) DFT (PBE-GGA) results for a relaxed TcP2SI crystal.

a b c (Å): 5.129 5.129 4.953
angles (deg): 90.00 90.00 90.00
Element x y z (fractional)
Tc (0.000, 0.000, 0.000)
P (0.000, 0.500, 0.500)
P (0.500, 0.000, 0.500)
S (0.500, 0.500, 0.000)
I (0.500, 0.500, 0.500)



The winner here is A), beating the second structure by 1482 meV/atom.



A) DFT (PBE-GGA) results for a relaxed VP2SI crystal.

a b c (Å): 4.772 4.772 4.423
angles (deg): 90.00 90.00 90.00
Element x y z (fractional)
V (0.000, 0.000, 0.000)
P (0.000, 0.500, 0.000)
P (0.500, 0.000, 0.000)
S (0.000, 0.000, 0.500)
I (0.500, 0.500, 0.500)



B) DFT (PBE-GGA) results for a relaxed VP2SI crystal.

a b c (Å): 5.100 5.100 4.969
angles (deg): 90.00 90.00 90.00
Element x y z (fractional)
V (0.000, 0.000, 0.000)
P (0.000, 0.500, 0.500)
P (0.500, 0.000, 0.500)
S (0.500, 0.500, 0.000)
I (0.500, 0.500, 0.500)



The winner here is A), beating the second structure by 1331 meV/atom.



A) DFT (PBE-GGA) results for a relaxed YPS2I crystal.

a b c (Å): 4.954 4.954 5.214
angles (deg): 90.00 90.00 90.00
Element x y z (fractional)
Y (0.000, 0.000, 0.000)
P (0.500, 0.500, 0.000)
S (0.000, 0.500, 0.500)
S (0.500, 0.000, 0.500)
I (0.500, 0.500, 0.500)



B) DFT (PBE-GGA) results for a relaxed YPS2I crystal.

a b c (Å): 5.147 5.147 5.819
angles (deg): 90.00 90.00 90.00
Element x y z (fractional)
Y (0.000, 0.000, 0.000)
P (0.000, 0.000, 0.500)
S (0.000, 0.500, 0.000)
S (0.500, 0.000, 0.000)
I (0.500, 0.500, 0.500)



The winner here is B), beating the second structure by 224 meV/atom.



A) DFT (PBE-GGA) results for a relaxed ZnP2SI crystal.

a b c (Å): 4.885 4.885 4.491
angles (deg): 90.00 90.00 90.00
Element x y z (fractional)
Zn (0.000, 0.000, 0.000)
P (0.000, 0.500, 0.000)
P (0.500, 0.000, 0.000)
S (0.000, 0.000, 0.500)
I (0.500, 0.500, 0.500)



B) DFT (PBE-GGA) results for a relaxed ZnP2SI crystal.

a b c (Å): 5.247 5.247 5.037
angles (deg): 90.00 90.00 90.00
Element x y z (fractional)
Zn (0.000, 0.000, 0.000)
P (0.000, 0.500, 0.500)
P (0.500, 0.000, 0.500)
S (0.500, 0.500, 0.000)
I (0.500, 0.500, 0.500)



The winner here is A), beating the second structure by 546 meV/atom.



A) DFT (PBE-GGA) results for a relaxed ZnPS2I crystal.

a b c (Å): 4.641 4.641 4.976
angles (deg): 90.00 90.00 90.00
Element x y z (fractional)
Zn (0.000, 0.000, 0.000)
P (0.000, 0.000, 0.500)
S (0.000, 0.500, 0.000)
S (0.500, 0.000, 0.000)
I (0.500, 0.500, 0.500)



B) DFT (PBE-GGA) results for a relaxed ZnPS2I crystal.

a b c (Å): 5.058 5.058 5.313
angles (deg): 90.00 90.00 90.00
Element x y z (fractional)
Zn (0.000, 0.000, 0.000)
P (0.500, 0.500, 0.000)
S (0.000, 0.500, 0.500)
S (0.500, 0.000, 0.500)
I (0.500, 0.500, 0.500)



The winner here is A), beating the second structure by 451 meV/atom.